1.
Here is a geometry-optimized MgAlMo2 structure from Alexandria. Energies are from GGA-PBE.

Summary:
- SG: P4/mmm, No. 123
- Energy above the lowest structure with this stoichiometry: 0.169 eV per atom

The structure in CIF format:
```
data_MgAlMo2
_chemical_formula_sum 'Mg1 Al1 Mo2'
_cell_length_a 3.408
_cell_length_b 3.408
_cell_length_c 5.830
_cell_angle_alpha 90.00
_cell_angle_beta 90.00
_cell_angle_gamma 90.00
_space_group_name_H-M_alt 'P 1'
_space_group_IT_number 1
_space_group_name_Hall 'P 1'
loop_
_atom_site_label
_atom_site_type_symbol
_atom_site_fract_x
_atom_site_fract_y
_atom_site_fract_z
Mg1 Mg 0.000 0.000 0.000
Al1 Al 0.000 0.000 0.500
Mo1 Mo 0.500 0.500 0.297
Mo2 Mo 0.500 0.500 0.703
```

---

2.
Here is a geometry-optimized Pm2GaSnPd6 structure from Alexandria. Energies are from GGA-PBE.

Summary:
- SG: C2/m, No. 12
- Uncorrected energy: -54.45 eV for the cell shown

The structure in CIF format:
```
data_Pm2GaSnPd6
_chemical_formula_sum 'Pm2 Ga1 Sn1 Pd6'
_cell_length_a 6.502
_cell_length_b 6.502
_cell_length_c 7.921
_cell_angle_alpha 125.71
_cell_angle_beta 125.71
_cell_angle_gamma 50.56
_space_group_name_H-M_alt 'P 1'
_space_group_IT_number 1
_space_group_name_Hall 'P 1'
loop_
_atom_site_label
_atom_site_type_symbol
_atom_site_fract_x
_atom_site_fract_y
_atom_site_fract_z
Pm1 Pm 0.000 0.000 0.248
Pm2 Pm 0.000 0.000 0.752
Ga1 Ga 0.500 0.500 0.000
Sn1 Sn 0.500 0.500 0.500
Pd1 Pd 0.011 0.505 0.702
Pd2 Pd 0.319 0.319 0.065
Pd3 Pd 0.495 0.989 0.298
Pd4 Pd 0.505 0.011 0.702
Pd5 Pd 0.681 0.681 0.935
Pd6 Pd 0.989 0.495 0.298
```

---

3.
Here is a geometry-optimized ScAg2Au structure from Alexandria. Energies are from GGA-PBE.

Summary:
- SG: R-3m, No. 166
- Energy above the lowest structure with this stoichiometry: 0.341 eV per atom

The structure in CIF format:
```
data_ScAg2Au
_chemical_formula_sum 'Sc3 Ag6 Au3'
_cell_length_a 3.074
_cell_length_b 3.074
_cell_length_c 28.102
_cell_angle_alpha 90.00
_cell_angle_beta 90.00
_cell_angle_gamma 120.00
_space_group_name_H-M_alt 'P 1'
_space_group_IT_number 1
_space_group_name_Hall 'P 1'
loop_
_atom_site_label
_atom_site_type_symbol
_atom_site_fract_x
_atom_site_fract_y
_atom_site_fract_z
Sc1 Sc 0.000 0.000 0.000
Sc2 Sc 0.333 0.667 0.667
Sc3 Sc 0.667 0.333 0.333
Ag1 Ag 0.000 0.000 0.249
Ag2 Ag 0.000 0.000 0.751
Ag3 Ag 0.333 0.667 0.418
Ag4 Ag 0.333 0.667 0.916
Ag5 Ag 0.667 0.333 0.084
Ag6 Ag 0.667 0.333 0.582
Au1 Au 0.000 0.000 0.500
Au2 Au 0.333 0.667 0.167
Au3 Au 0.667 0.333 0.833
```

---

4.
Here is a geometry-optimized Tl2ReSn structure from Alexandria. Energies are from GGA-PBE.

Summary:
- SG: Fm-3m, No. 225
- Energy above the lowest structure with this stoichiometry: 0.155 eV per atom

The structure in CIF format:
```
data_Tl2ReSn
_chemical_formula_sum 'Tl8 Re4 Sn4'
_cell_length_a 7.172
_cell_length_b 7.172
_cell_length_c 7.172
_cell_angle_alpha 90.00
_cell_angle_beta 90.00
_cell_angle_gamma 90.00
_space_group_name_H-M_alt 'P 1'
_space_group_IT_number 1
_space_group_name_Hall 'P 1'
loop_
_atom_site_label
_atom_site_type_symbol
_atom_site_fract_x
_atom_site_fract_y
_atom_site_fract_z
Tl1 Tl 0.250 0.250 0.250
Tl2 Tl 0.250 0.250 0.750
Tl3 Tl 0.250 0.750 0.250
Tl4 Tl 0.250 0.750 0.750
Tl5 Tl 0.750 0.250 0.250
Tl6 Tl 0.750 0.250 0.750
Tl7 Tl 0.750 0.750 0.250
Tl8 Tl 0.750 0.750 0.750
Re1 Re 0.000 0.000 0.000
Re2 Re 0.000 0.500 0.500
Re3 Re 0.500 0.000 0.500
Re4 Re 0.500 0.500 0.000
Sn1 Sn 0.000 0.000 0.500
Sn2 Sn 0.000 0.500 0.000
Sn3 Sn 0.500 0.000 0.000
Sn4 Sn 0.500 0.500 0.500
```

---

5.
Here is a geometry-optimized Pu4ZnIr2 structure from Alexandria. Energies are from GGA-PBE.

Summary:
- SG: R-3m, No. 166
- Uncorrected energy: -77.51 eV for the cell shown

The structure in CIF format:
```
data_Pu4ZnIr2
_chemical_formula_sum 'Pu4 Zn1 Ir2'
_cell_length_a 7.468
_cell_length_b 7.468
_cell_length_c 7.468
_cell_angle_alpha 38.11
_cell_angle_beta 38.11
_cell_angle_gamma 38.11
_space_group_name_H-M_alt 'P 1'
_space_group_IT_number 1
_space_group_name_Hall 'P 1'
loop_
_atom_site_label
_atom_site_type_symbol
_atom_site_fract_x
_atom_site_fract_y
_atom_site_fract_z
Pu1 Pu 0.075 0.075 0.075
Pu2 Pu 0.235 0.235 0.235
Pu3 Pu 0.765 0.765 0.765
Pu4 Pu 0.925 0.925 0.925
Zn1 Zn 0.500 0.500 0.500
Ir1 Ir 0.370 0.370 0.370
Ir2 Ir 0.630 0.630 0.630
```

---

6.
Here is a geometry-optimized MgAsPd4 structure from Alexandria. Energies are from GGA-PBE.

Summary:
- SG: P4/mmm, No. 123
- Energy above the lowest structure with this stoichiometry: 0.076 eV per atom

The structure in CIF format:
```
data_MgAsPd4
_chemical_formula_sum 'Mg1 As1 Pd4'
_cell_length_a 4.203
_cell_length_b 4.203
_cell_length_c 5.905
_cell_angle_alpha 90.00
_cell_angle_beta 90.00
_cell_angle_gamma 90.00
_space_group_name_H-M_alt 'P 1'
_space_group_IT_number 1
_space_group_name_Hall 'P 1'
loop_
_atom_site_label
_atom_site_type_symbol
_atom_site_fract_x
_atom_site_fract_y
_atom_site_fract_z
Mg1 Mg 0.000 0.000 0.000
As1 As 0.500 0.500 0.500
Pd1 Pd 0.000 0.500 0.260
Pd2 Pd 0.000 0.500 0.740
Pd3 Pd 0.500 0.000 0.260
Pd4 Pd 0.500 0.000 0.740
```

---

7.
Here is a geometry-optimized Rb2SnSe2 structure from Alexandria. Energies are from GGA-PBE.

Summary:
- SG: P4/mbm, No. 127
- Energy relative to the elements, uncorrected: -645 meV per atom
- Energy above the lowest structure with this stoichiometry: 0.249 eV per atom

The structure in CIF format:
```
data_Rb2SnSe2
_chemical_formula_sum 'Rb4 Sn2 Se4'
_cell_length_a 8.243
_cell_length_b 8.243
_cell_length_c 5.034
_cell_angle_alpha 90.00
_cell_angle_beta 90.00
_cell_angle_gamma 90.00
_space_group_name_H-M_alt 'P 1'
_space_group_IT_number 1
_space_group_name_Hall 'P 1'
loop_
_atom_site_label
_atom_site_type_symbol
_atom_site_fract_x
_atom_site_fract_y
_atom_site_fract_z
Rb1 Rb 0.139 0.361 0.000
Rb2 Rb 0.361 0.861 0.000
Rb3 Rb 0.639 0.139 0.000
Rb4 Rb 0.861 0.639 0.000
Sn1 Sn 0.000 0.000 0.500
Sn2 Sn 0.500 0.500 0.500
Se1 Se 0.179 0.679 0.500
Se2 Se 0.321 0.179 0.500
Se3 Se 0.679 0.821 0.500
Se4 Se 0.821 0.321 0.500
```

---

8.
Here is a geometry-optimized NpSi2OsPt structure from Alexandria. Energies are from GGA-PBE.

Summary:
- SG: I-4m2, No. 119
- Energy relative to the elements, uncorrected: -589 meV per atom

The structure in CIF format:
```
data_NpSi2OsPt
_chemical_formula_sum 'Np2 Si4 Os2 Pt2'
_cell_length_a 4.062
_cell_length_b 4.062
_cell_length_c 10.189
_cell_angle_alpha 90.00
_cell_angle_beta 90.00
_cell_angle_gamma 90.00
_space_group_name_H-M_alt 'P 1'
_space_group_IT_number 1
_space_group_name_Hall 'P 1'
loop_
_atom_site_label
_atom_site_type_symbol
_atom_site_fract_x
_atom_site_fract_y
_atom_site_fract_z
Np1 Np 0.000 0.000 0.000
Np2 Np 0.500 0.500 0.500
Si1 Si 0.000 0.000 0.382
Si2 Si 0.000 0.000 0.618
Si3 Si 0.500 0.500 0.118
Si4 Si 0.500 0.500 0.882
Os1 Os 0.000 0.500 0.250
Os2 Os 0.500 0.000 0.750
Pt1 Pt 0.000 0.500 0.750
Pt2 Pt 0.500 0.000 0.250
```

---

What did we get for calculated volume? Answer: 67.7, 197.5, 230.0, 368.9, 142.4, 104.3, 342.0, 168.1 Å³ per cell, in the order shown.